First-principles (GGA-PBE) data for a geometry-optimized AlTlCl2 structure, as listed in Alexandria via LeMat-Bulk.

Output
Its energy above the most stable polymorph in this dataset is 224 meV/atom. As for the total magnetic moment: 0.0 μB per cell. Its density is 4.65 g/cm³.

Cell: 5.3439 5.3439 5.3439 Å, 60.00 60.00 60.00°
With the nearest neighbours (Å) after each atom.
Element x y z (fractional)
Al: 0.0000 0.0000 0.0000  8 Cl 3.27
Tl: 0.5000 0.5000 0.5000  8 Cl 3.27
Cl: 0.2500 0.2500 0.2500  4 Tl 3.27, 4 Al 3.27
Cl: 0.7500 0.7500 0.7500  4 Tl 3.27, 4 Al 3.27



First-principles (GGA-PBE) data for a geometry-optimized AlTl2Cl structure, as listed in Alexandria via LeMat-Bulk.

Output
Its energy above the most stable polymorph in this dataset is 120 meV/atom. As for the total magnetic moment: 0.0 μB per cell. Its density is 7.05 g/cm³.

Cell: 3.9502 4.3584 6.4494 Å, 90.00 90.60 90.00°
With the nearest neighbours (Å) after each atom.
Element x y z (fractional)
Al: 0.0000 0.0000 0.0000  2 Cl 3.22, 8 Tl 3.32-3.40
Tl: 0.4878 0.5000 0.2516  2 Tl 3.20-3.25, 4 Al 3.32-3.40, 4 Cl 3.33-3.37
Tl: 0.5122 0.5000 0.7484  2 Tl 3.20-3.25, 4 Al 3.32-3.40, 4 Cl 3.33-3.37
Cl: 0.0000 0.0000 0.5000  2 Al 3.22, 8 Tl 3.33-3.37



First-principles (GGA-PBE) data for a geometry-optimized AlTlCl2 structure, as listed in Alexandria via LeMat-Bulk.

Output
Its energy above the most stable polymorph in this dataset is 58 meV/atom. As for the total magnetic moment: 0.0 μB per cell. Its density is 4.22 g/cm³.

Cell: 6.2661 6.2661 6.0783 Å, 103.54 103.54 30.93°
With the nearest neighbours (Å) after each atom.
Element x y z (fractional)
Al: 0.0000 0.0000 0.0000  4 Cl 2.48-2.49
Tl: 0.3135 0.3135 0.6430  2 Al 3.19, 3 Cl 3.26-3.57, 2 Tl 3.34
Cl: 0.4776 0.4776 0.2890  2 Al 2.49
Cl: 0.6483 0.6483 0.9725  2 Al 2.48



Results for final energy: -12.1; -10.7; -12.8 (in eV/cell, following the order of the records).
Results for raw formation energy: -0.57; -0.10; -0.74 (in eV per atom, following the order of the records).